VASP calculation (GGA-PBE) on crystalline LaSiSb at its relaxed geometry.

The electronic total energy is -31.40 eV per cell. The crystal system is tetragonal. The total magnetization is 0.000 μB/cell. The calculated density comes out at 6309 kg/m³. The value obtained for the distance to the lowest polymorph of the same formula is 331.9 meV per atom.

It has space group I4mm (No. 107), with a = 3.779 Å, b = 3.779 Å, c = 10.644 Å, α = 90.00°, β = 90.00° and γ = 90.00°. The inequivalent atoms are La at (0.000, 0.000, 0.000), Si at (0.000, 0.000, 0.699) and Sb at (0.000, 0.000, 0.302).